# GaCo3H GGA-PBE optimized geometry
# - magnetic moment (μB per cell) = 3.00
# - ρ (Mg/m³) = 8.628
# - total energy (eV per atom) = -5.64
# - energy above the lowest structure with this stoichiometry (kJ/mol of atoms) = 0.0
data_GaCo3H
_cell_length_a 3.625
_cell_length_b 3.625
_cell_length_c 3.625
_cell_angle_alpha 90.00
_cell_angle_beta 90.00
_cell_angle_gamma 90.00
_space_group_name_H-M_alt 'P m -3 m'
_space_group_IT_number 221
_space_group_name_Hall '-P 4 2 3'
loop_
_atom_site_label
_atom_site_type_symbol
_atom_site_fract_x
_atom_site_fract_y
_atom_site_fract_z
Ga1 Ga 0.000 0.000 0.000
Co1 Co 0.000 0.500 0.500
H1 H 0.500 0.500 0.500